1.
# PBE-GGA LiSn2O3, optimized geometry
# Fermi-level density of states in states/eV per cell: 4.338
# E_tot in eV for the cell shown: -65.51
# Formation energy without anion corrections in eV per atom: -1.33
data_LiSn2O3
_chemical_formula_sum 'Li2 Sn4 O6'
_space_group_name_H-M_alt 'I m m 2'
_space_group_IT_number 44
_space_group_name_Hall 'I 2 -2'
_cell_length_a 3.247
_cell_length_b 13.526
_cell_length_c 4.666
_cell_angle_alpha 90.00
_cell_angle_beta 90.00
_cell_angle_gamma 90.00
loop_
_atom_site_label
_atom_site_fract_x
_atom_site_fract_y
_atom_site_fract_z
Li1 0.000 0.000 0.000
Sn1 0.000 0.363 0.974
O1 0.000 0.116 0.744
O2 0.000 0.500 0.761

2.
# PBE-GGA SiMoOs2Se, optimized geometry
# Fermi-level density of states in states/eV per cell: 4.299
# E_tot in eV for the cell shown: -34.53
# Formation energy without anion corrections in eV per atom: 1.53
data_SiMoOs2Se
_chemical_formula_sum 'Si1 Mo1 Os2 Se1'
_space_group_name_H-M_alt 'P 4/m m m'
_space_group_IT_number 123
_space_group_name_Hall '-P 4 2'
_cell_length_a 4.420
_cell_length_b 4.420
_cell_length_c 4.650
_cell_angle_alpha 90.00
_cell_angle_beta 90.00
_cell_angle_gamma 90.00
loop_
_atom_site_label
_atom_site_fract_x
_atom_site_fract_y
_atom_site_fract_z
Si1 0.000 0.000 0.000
Mo1 0.500 0.500 0.500
Os1 0.000 0.500 0.000
Se1 0.000 0.000 0.500

3.
# PBE-GGA AsOs3Ru, optimized geometry
# Fermi-level density of states in states/eV per cell: 6.273
# Energy of formation from the pure elements in meV per atom: 2345
# E_tot in eV for the cell shown: -35.89
# E above lowest polymorph in eV/atom: 0.419
data_AsOs3Ru
_chemical_formula_sum 'As1 Os3 Ru1'
_space_group_name_H-M_alt 'P m -3 m'
_space_group_IT_number 221
_space_group_name_Hall '-P 4 2 3'
_cell_length_a 4.661
_cell_length_b 4.661
_cell_length_c 4.661
_cell_angle_alpha 90.00
_cell_angle_beta 90.00
_cell_angle_gamma 90.00
loop_
_atom_site_label
_atom_site_fract_x
_atom_site_fract_y
_atom_site_fract_z
As1 0.000 0.000 0.000
Os1 0.000 0.500 0.500
Ru1 0.500 0.500 0.500

Question: Number 3 is which compound?
Answer: AsOs3Ru